# 1
! ZrAsIr2 | the Alexandria database | PBE | relaxed; values from VASP
&SYSTEM
  ibrav = 0, nat = 4, ntyp = 3
/
ATOMIC_SPECIES
As 74.92 As.upf
Ir 192.22 Ir.upf
Zr 91.22 Zr.upf
ATOMIC_POSITIONS crystal
As 0.500 0.500 0.750
Ir 0.000 0.000 0.976
Ir 0.000 0.000 0.524
Zr 0.500 0.500 0.250
CELL_PARAMETERS angstrom
-0.918 -2.176 1.902
2.866 -0.945 0.303
0.892 4.493 5.574
! DFT formation energy = -362 meV/atom
! Calculated volume = 66.35 Å³/f.u.
! Spin magnetization = 0.000 μB per atom
! Mass density = 13.78 g cm⁻³
! Space group = No. 123

# 2
! ZrAsIr2 | the Alexandria database | PBE | relaxed; values from VASP
&SYSTEM
  ibrav = 0, nat = 4, ntyp = 3
/
ATOMIC_SPECIES
As 74.92 As.upf
Ir 192.22 Ir.upf
Zr 91.22 Zr.upf
ATOMIC_POSITIONS crystal
As 0.500 0.500 0.750
Ir 0.000 0.000 0.997
Ir 0.000 0.000 0.503
Zr 0.500 0.500 0.250
CELL_PARAMETERS angstrom
-0.111 -1.499 2.738
2.298 -2.639 -1.352
4.531 3.007 1.830
! DFT formation energy = -404 meV/atom
! Calculated volume = 67.23 Å³/f.u.
! Spin magnetization = 0.000 μB per atom
! Mass density = 13.60 g cm⁻³
! Space group = No. 47

# 3
! ZrAsIr2 | the Alexandria database | PBE | relaxed; values from VASP
&SYSTEM
  ibrav = 0, nat = 4, ntyp = 3
/
ATOMIC_SPECIES
As 74.92 As.upf
Ir 192.22 Ir.upf
Zr 91.22 Zr.upf
ATOMIC_POSITIONS crystal
As 0.000 0.500 0.500
Ir 0.000 0.000 0.000
Ir 0.500 0.500 0.000
Zr 0.500 0.000 0.500
CELL_PARAMETERS angstrom
3.000 0.000 0.000
0.000 4.701 0.000
0.000 0.000 4.674
! DFT formation energy = -323 meV/atom
! Calculated volume = 65.92 Å³/f.u.
! Spin magnetization = 0.000 μB per atom
! Mass density = 13.87 g cm⁻³
! Space group = No. 47

# 4
! Zr2AsIr | the Alexandria database | PBE | relaxed; values from VASP
&SYSTEM
  ibrav = 0, nat = 4, ntyp = 3
/
ATOMIC_SPECIES
As 74.92 As.upf
Ir 192.22 Ir.upf
Zr 91.22 Zr.upf
ATOMIC_POSITIONS crystal
As 0.460 0.460 0.625
Ir 0.285 0.285 0.125
Zr 0.020 0.020 0.125
Zr 0.735 0.735 0.625
CELL_PARAMETERS angstrom
-5.114 -1.771 0.278
-3.637 -2.642 -3.026
1.300 -3.516 1.507
! DFT formation energy = -905 meV/atom
! Calculated volume = 76.54 Å³/f.u.
! Spin magnetization = 0.000 μB per atom
! Mass density = 9.75 g cm⁻³
! Space group = No. 38

# 5
! Zr2AsIr | the Alexandria database | PBE | relaxed; values from VASP
&SYSTEM
  ibrav = 0, nat = 4, ntyp = 3
/
ATOMIC_SPECIES
As 74.92 As.upf
Ir 192.22 Ir.upf
Zr 91.22 Zr.upf
ATOMIC_POSITIONS crystal
As 0.500 0.500 0.250
Ir 0.500 0.500 0.750
Zr 0.000 0.000 0.000
Zr 0.000 0.000 0.500
CELL_PARAMETERS angstrom
-3.420 0.494 0.530
-0.342 -3.354 0.922
1.109 1.476 5.780
! DFT formation energy = -712 meV/atom
! Calculated volume = 74.14 Å³/f.u.
! Spin magnetization = 0.000 μB per atom
! Mass density = 10.07 g cm⁻³
! Space group = No. 123

# 6
! ZrAsIr2 | the Alexandria database | PBE | relaxed; values from VASP
&SYSTEM
  ibrav = 0, nat = 4, ntyp = 3
/
ATOMIC_SPECIES
As 74.92 As.upf
Ir 192.22 Ir.upf
Zr 91.22 Zr.upf
ATOMIC_POSITIONS crystal
As 0.743 0.743 0.743
Ir 0.005 0.005 0.005
Ir 0.253 0.253 0.253
Zr 0.500 0.500 0.500
CELL_PARAMETERS angstrom
-1.951 -1.860 -8.608
0.597 -3.308 -8.370
-1.909 -4.593 -7.525
! DFT formation energy = -23 meV/atom
! Calculated volume = 66.32 Å³/f.u.
! Spin magnetization = 0.000 μB per atom
! Mass density = 13.79 g cm⁻³
! Space group = No. 160

# 7
! ZrAs4Ir | the Alexandria database | PBE | relaxed; values from VASP
&SYSTEM
  ibrav = 0, nat = 6, ntyp = 3
/
ATOMIC_SPECIES
Zr 91.22 Zr.upf
As 74.92 As.upf
Ir 192.22 Ir.upf
ATOMIC_POSITIONS crystal
Zr 0.000 0.000 0.000
As 0.874 0.375 0.375
As 0.375 0.375 0.874
As 0.375 0.874 0.375
As 0.375 0.375 0.375
Ir 0.750 0.750 0.750
CELL_PARAMETERS angstrom
0.000 3.811 3.811
3.811 0.000 3.811
3.811 3.811 0.000
! DFT formation energy = 388 meV/atom
! Calculated volume = 110.69 Å³/f.u.
! Spin magnetization = 0.000 μB per atom
! Mass density = 8.75 g cm⁻³
! Space group = No. 216

# 8
! ZrAsIr2 | the Alexandria database | PBE | relaxed; values from VASP
&SYSTEM
  ibrav = 0, nat = 4, ntyp = 3
/
ATOMIC_SPECIES
As 74.92 As.upf
Ir 192.22 Ir.upf
Zr 91.22 Zr.upf
ATOMIC_POSITIONS crystal
As 0.500 0.500 0.812
Ir 0.000 0.000 0.956
Ir 0.500 0.500 0.262
Zr 0.000 0.000 0.469
CELL_PARAMETERS angstrom
3.098 0.000 0.000
0.000 3.948 0.000
0.000 0.000 5.601
! DFT formation energy = -322 meV/atom
! Calculated volume = 68.50 Å³/f.u.
! Spin magnetization = 0.000 μB per atom
! Mass density = 13.35 g cm⁻³
! Space group = No. 25

# 9
! Zr2AsIr | the Alexandria database | PBE | relaxed; values from VASP
&SYSTEM
  ibrav = 0, nat = 4, ntyp = 3
/
ATOMIC_SPECIES
As 74.92 As.upf
Ir 192.22 Ir.upf
Zr 91.22 Zr.upf
ATOMIC_POSITIONS crystal
As 0.000 0.000 0.379
Ir 0.500 0.500 0.874
Zr 0.000 0.000 0.878
Zr 0.500 0.500 0.369
CELL_PARAMETERS angstrom
3.841 0.000 0.000
0.000 3.842 0.000
0.000 0.000 5.581
! DFT formation energy = -710 meV/atom
! Calculated volume = 82.36 Å³/f.u.
! Spin magnetization = 0.000 μB per atom
! Mass density = 9.06 g cm⁻³
! Space group = No. 99

# 10
! Zr2AsIr | the Alexandria database | PBE | relaxed; values from VASP
&SYSTEM
  ibrav = 0, nat = 4, ntyp = 3
/
ATOMIC_SPECIES
As 74.92 As.upf
Ir 192.22 Ir.upf
Zr 91.22 Zr.upf
ATOMIC_POSITIONS crystal
As 0.470 0.470 0.000
Ir 0.259 0.759 0.500
Zr 0.018 0.018 0.000
Zr 0.753 0.253 0.500
CELL_PARAMETERS angstrom
-0.321 -5.714 -0.234
3.244 -3.428 3.245
-3.604 4.448 0.199
! DFT formation energy = -755 meV/atom
! Calculated volume = 74.89 Å³/f.u.
! Spin magnetization = 0.000 μB per atom
! Mass density = 9.97 g cm⁻³
! Space group = No. 44

# 11
! ZrAsIr2 | the Alexandria database | PBE | relaxed; values from VASP
&SYSTEM
  ibrav = 0, nat = 4, ntyp = 3
/
ATOMIC_SPECIES
As 74.92 As.upf
Ir 192.22 Ir.upf
Zr 91.22 Zr.upf
ATOMIC_POSITIONS crystal
As 0.500 0.000 0.500
Ir 0.000 0.000 0.000
Ir 0.000 0.500 0.500
Zr 0.500 0.500 0.000
CELL_PARAMETERS angstrom
-0.599 2.549 -2.938
-3.639 -1.716 -0.747
-1.765 2.603 2.618
! DFT formation energy = -428 meV/atom
! Calculated volume = 65.91 Å³/f.u.
! Spin magnetization = 0.000 μB per atom
! Mass density = 13.87 g cm⁻³
! Space group = No. 123

# 12
! Zr2AsIr | the Alexandria database | PBE | relaxed; values from VASP
&SYSTEM
  ibrav = 0, nat = 4, ntyp = 3
/
ATOMIC_SPECIES
As 74.92 As.upf
Ir 192.22 Ir.upf
Zr 91.22 Zr.upf
ATOMIC_POSITIONS crystal
As 0.250 0.750 0.500
Ir 0.750 0.250 0.500
Zr 0.000 0.000 0.000
Zr 0.500 0.500 0.000
CELL_PARAMETERS angstrom
4.959 0.022 0.000
1.104 4.834 0.000
-3.031 -2.428 3.083
! DFT formation energy = -647 meV/atom
! Calculated volume = 73.83 Å³/f.u.
! Spin magnetization = 0.000 μB per atom
! Mass density = 10.11 g cm⁻³
! Space group = No. 139

# 13
! ZrAsIr2 | the Alexandria database | PBE | relaxed; values from VASP
&SYSTEM
  ibrav = 0, nat = 4, ntyp = 3
/
ATOMIC_SPECIES
As 74.92 As.upf
Ir 192.22 Ir.upf
Zr 91.22 Zr.upf
ATOMIC_POSITIONS crystal
As 0.500 0.500 0.783
Ir 0.000 0.000 0.973
Ir 0.500 0.500 0.250
Zr 0.000 0.000 0.493
CELL_PARAMETERS angstrom
3.073 0.000 0.000
0.000 3.073 0.000
0.000 0.000 7.068
! DFT formation energy = -226 meV/atom
! Calculated volume = 66.73 Å³/f.u.
! Spin magnetization = 0.000 μB per atom
! Mass density = 13.70 g cm⁻³
! Space group = No. 99

# 14
! Zr2AsIr | the Alexandria database | PBE | relaxed; values from VASP
&SYSTEM
  ibrav = 0, nat = 4, ntyp = 3
/
ATOMIC_SPECIES
As 74.92 As.upf
Ir 192.22 Ir.upf
Zr 91.22 Zr.upf
ATOMIC_POSITIONS crystal
As 0.750 0.750 0.750
Ir 0.250 0.250 0.250
Zr 0.997 0.997 0.009
Zr 0.503 0.503 0.491
CELL_PARAMETERS angstrom
3.786 0.002 0.002
1.900 3.274 0.002
1.876 1.081 6.654
! DFT formation energy = -750 meV/atom
! Calculated volume = 82.44 Å³/f.u.
! Spin magnetization = 0.000 μB per atom
! Mass density = 9.06 g cm⁻³
! Space group = No. 12

# 15
! Zr2AsIr | the Alexandria database | PBE | relaxed; values from VASP
&SYSTEM
  ibrav = 0, nat = 4, ntyp = 3
/
ATOMIC_SPECIES
As 74.92 As.upf
Ir 192.22 Ir.upf
Zr 91.22 Zr.upf
ATOMIC_POSITIONS crystal
As 0.500 0.250 0.250
Ir 0.500 0.750 0.750
Zr 0.000 0.070 0.994
Zr 0.000 0.430 0.506
CELL_PARAMETERS angstrom
-0.415 0.565 -3.380
-0.719 -2.971 -0.408
-7.301 -0.450 0.820
! DFT formation energy = -746 meV/atom
! Calculated volume = 75.32 Å³/f.u.
! Spin magnetization = 0.000 μB per atom
! Mass density = 9.91 g cm⁻³
! Space group = No. 10

# 16
! K3As | the Alexandria database | PBE | relaxed; values from VASP
&SYSTEM
  ibrav = 0, nat = 8, ntyp = 2
/
ATOMIC_SPECIES
K 39.10 K.upf
As 74.92 As.upf
ATOMIC_POSITIONS crystal
K 0.416 0.416 0.750
K 0.584 0.584 0.250
K 0.312 0.959 0.750
K 0.688 0.041 0.250
K 0.959 0.312 0.750
K 0.041 0.688 0.250
As 0.252 0.252 0.250
As 0.748 0.748 0.750
CELL_PARAMETERS angstrom
-5.513 5.036 -0.529
-5.343 -4.956 1.710
0.601 1.230 5.442
! DFT formation energy = -275 meV/atom
! Calculated volume = 156.90 Å³/f.u.
! Spin magnetization = 0.000 μB per atom
! Mass density = 2.03 g cm⁻³
! Space group = No. 63

# 17
! K5As2 | the Alexandria database | PBE | relaxed; values from VASP
&SYSTEM
  ibrav = 0, nat = 14, ntyp = 2
/
ATOMIC_SPECIES
K 39.10 K.upf
As 74.92 As.upf
ATOMIC_POSITIONS crystal
K 0.079 0.224 0.157
K 0.921 0.776 0.843
K 0.579 0.933 0.157
K 0.421 0.067 0.843
K 0.487 0.737 0.475
K 0.013 0.263 0.525
K 0.513 0.263 0.525
K 0.987 0.737 0.475
K 0.750 0.500 0.000
K 0.250 0.500 0.000
As 0.377 0.634 0.755
As 0.623 0.366 0.245
As 0.877 0.121 0.755
As 0.123 0.879 0.245
CELL_PARAMETERS angstrom
-4.790 -4.993 2.226
-3.201 -0.421 -7.833
9.463 -3.389 0.897
! DFT formation energy = -291 meV/atom
! Calculated volume = 258.88 Å³/f.u.
! Spin magnetization = 0.159 μB per atom
! Mass density = 2.22 g cm⁻³
! Space group = No. 72

# 18
! K3As | the Alexandria database | PBE | relaxed; values from VASP
&SYSTEM
  ibrav = 0, nat = 8, ntyp = 2
/
ATOMIC_SPECIES
K 39.10 K.upf
As 74.92 As.upf
ATOMIC_POSITIONS crystal
K 0.750 0.377 0.188
K 0.250 0.623 0.812
K 0.750 0.812 0.623
K 0.250 0.188 0.377
K 0.750 0.812 0.188
K 0.250 0.188 0.812
As 0.750 0.333 0.667
As 0.250 0.667 0.333
CELL_PARAMETERS angstrom
-4.511 -2.455 2.601
2.156 -6.934 -2.806
2.671 2.406 6.904
! DFT formation energy = -220 meV/atom
! Calculated volume = 151.03 Å³/f.u.
! Spin magnetization = 0.000 μB per atom
! Mass density = 2.11 g cm⁻³
! Space group = No. 194

# 19
! K5As3 | the Alexandria database | PBE | relaxed; values from VASP
&SYSTEM
  ibrav = 0, nat = 8, ntyp = 2
/
ATOMIC_SPECIES
K 39.10 K.upf
As 74.92 As.upf
ATOMIC_POSITIONS crystal
K 0.000 0.000 0.000
K 0.500 0.000 0.000
K 0.000 0.500 0.000
K 0.714 0.286 0.500
K 0.286 0.714 0.500
As 0.500 0.500 0.000
As 0.741 0.741 0.500
As 0.259 0.259 0.500
CELL_PARAMETERS angstrom
0.436 3.794 6.064
-3.315 -5.466 3.239
4.267 -2.021 0.957
! DFT formation energy = -133 meV/atom
! Calculated volume = 247.13 Å³/f.u.
! Energy relative to the lowest polymorph listed for this composition = 96 meV per atom
! Spin magnetization = 0.000 μB per atom
! Mass density = 2.82 g cm⁻³
! Space group = No. 65

# 20
! K3As11 | the Alexandria database | PBE | relaxed; values from VASP
&SYSTEM
  ibrav = 0, nat = 56, ntyp = 2
/
ATOMIC_SPECIES
K 39.10 K.upf
As 74.92 As.upf
ATOMIC_POSITIONS crystal
K 0.083 0.762 0.010
K 0.583 0.738 0.490
K 0.917 0.262 0.490
K 0.417 0.238 0.010
K 0.917 0.238 0.990
K 0.417 0.262 0.510
K 0.083 0.738 0.510
K 0.583 0.762 0.990
K 0.250 0.000 0.282
K 0.750 0.500 0.218
K 0.750 0.000 0.718
K 0.250 0.500 0.782
As 0.265 0.686 0.244
As 0.765 0.814 0.256
As 0.735 0.186 0.256
As 0.235 0.314 0.244
As 0.735 0.314 0.756
As 0.235 0.186 0.744
As 0.265 0.814 0.744
As 0.765 0.686 0.756
As 0.060 0.603 0.214
As 0.560 0.897 0.286
As 0.940 0.103 0.286
As 0.440 0.397 0.214
As 0.940 0.397 0.786
As 0.440 0.103 0.714
As 0.060 0.897 0.714
As 0.560 0.603 0.786
As 0.391 0.580 0.129
As 0.891 0.920 0.371
As 0.609 0.080 0.371
As 0.109 0.420 0.129
As 0.609 0.420 0.871
As 0.109 0.080 0.629
As 0.391 0.920 0.629
As 0.891 0.580 0.871
As 0.320 0.585 0.391
As 0.820 0.915 0.109
As 0.680 0.085 0.109
As 0.180 0.415 0.391
As 0.680 0.415 0.609
As 0.180 0.085 0.891
As 0.320 0.915 0.891
As 0.820 0.585 0.609
As 0.503 0.477 0.360
As 0.003 0.023 0.140
As 0.497 0.977 0.140
As 0.997 0.523 0.360
As 0.497 0.523 0.640
As 0.997 0.977 0.860
As 0.503 0.023 0.860
As 0.003 0.477 0.640
As 0.250 0.000 0.519
As 0.750 0.500 0.981
As 0.750 0.000 0.481
As 0.250 0.500 0.019
CELL_PARAMETERS angstrom
11.196 0.000 0.000
0.000 11.316 0.000
0.000 0.000 14.588
! DFT formation energy = -279 meV/atom
! Calculated volume = 462.02 Å³/f.u.
! Spin magnetization = 0.000 μB per atom
! Mass density = 3.38 g cm⁻³
! Space group = No. 60